Below is a relaxed structure of NpGaCu, with properties calculated at the PBE level.

The structure belongs to space group Cmcm (No. 63); the cell edges are 4.177, 12.077 and 3.987 Å and the angles 90.00°, 90.00° and 90.00°. The distinct sites, in fractional coordinates, are Np at (0.000, 0.059, 0.250), Ga at (0.000, 0.376, 0.250) and Cu at (0.000, 0.253, 0.750).

Its energy of formation is -8.18 kJ/mol of atoms. The calculation puts the total energy at -81.273 eV per cell.